A geometry-optimized CaBeAl2 structure. Source: Alexandria via LeMat-Bulk, functional PBE.

energy relative to the elements	1.328	eV/f.u.

Cell: 5.3636 5.3636 2.9437 Å, 90.00 90.00 115.18°
Fractional coordinates of all 4 atoms:
Ca 0.0000 0.0000 0.0000
Be 0.5000 0.5000 0.0000
Al 0.0000 0.5000 0.5000
Al 0.5000 0.0000 0.5000